A geometry-optimized CeBi3 structure. Source: Alexandria, functional PBEsol.

Computed properties:
ΔE_f ... -0.467 eV/atom
Total energy ... -21.322 eV per cell
Space group ... No. 139
Crystal system ... tetragonal

Lattice parameters (Å, degrees): 6.3498 6.3498 6.3498 137.46 137.46 61.73
With the nearest neighbours (Å) after each atom.
Fractional positions:
Ce  0.0000  0.0000  0.0000  12 Bi 3.26-3.57
Bi  0.2500  0.7500  0.5000  8 Bi 3.26-3.57, 4 Ce 3.57
Bi  0.5000  0.5000  0.0000  4 Ce 3.26, 8 Bi 3.57
Bi  0.7500  0.2500  0.5000  8 Bi 3.26-3.57, 4 Ce 3.57

A geometry-optimized Ce4Bi3 structure. Source: Alexandria, functional PBEsol.

Computed properties:
ΔE_f ... -0.617 eV/atom
Total energy ... -87.111 eV per cell
Space group ... No. 220
Crystal system ... cubic

Lattice parameters (Å, degrees): 8.2198 8.2198 8.2198 109.47 109.47 109.47
With the nearest neighbours (Å) after each atom.
Fractional positions:
Ce  0.0000  0.3498  0.5000  6 Bi 3.20-3.37
Ce  0.0000  0.8498  0.5000  6 Bi 3.20-3.37
Ce  0.1502  0.1502  0.1502  6 Bi 3.20-3.37
Ce  0.3498  0.5000  0.0000  6 Bi 3.20-3.37
Ce  0.5000  0.0000  0.3498  6 Bi 3.20-3.37
Ce  0.5000  0.0000  0.8498  6 Bi 3.20-3.37
Ce  0.6502  0.6502  0.6502  6 Bi 3.20-3.37
Ce  0.8498  0.5000  0.0000  6 Bi 3.20-3.37
Bi  0.1250  0.7500  0.8750  8 Ce 3.20-3.37
Bi  0.2500  0.6250  0.3750  8 Ce 3.20-3.37
Bi  0.3750  0.2500  0.6250  8 Ce 3.20-3.37
Bi  0.6250  0.3750  0.2500  8 Ce 3.20-3.37
Bi  0.7500  0.8750  0.1250  8 Ce 3.20-3.37
Bi  0.8750  0.1250  0.7500  8 Ce 3.20-3.37

What did the second record say?
A geometry-optimized Ce4Bi3 structure. Source: Alexandria, functional PBEsol.

Computed properties:
ΔE_f ... -0.617 eV/atom
Total energy ... -87.111 eV per cell
Space group ... No. 220
Crystal system ... cubic

Lattice parameters (Å, degrees): 8.2198 8.2198 8.2198 109.47 109.47 109.47
With the nearest neighbours (Å) after each atom.
Fractional positions:
Ce  0.0000  0.3498  0.5000  6 Bi 3.20-3.37
Ce  0.0000  0.8498  0.5000  6 Bi 3.20-3.37
Ce  0.1502  0.1502  0.1502  6 Bi 3.20-3.37
Ce  0.3498  0.5000  0.0000  6 Bi 3.20-3.37
Ce  0.5000  0.0000  0.3498  6 Bi 3.20-3.37
Ce  0.5000  0.0000  0.8498  6 Bi 3.20-3.37
Ce  0.6502  0.6502  0.6502  6 Bi 3.20-3.37
Ce  0.8498  0.5000  0.0000  6 Bi 3.20-3.37
Bi  0.1250  0.7500  0.8750  8 Ce 3.20-3.37
Bi  0.2500  0.6250  0.3750  8 Ce 3.20-3.37
Bi  0.3750  0.2500  0.6250  8 Ce 3.20-3.37
Bi  0.6250  0.3750  0.2500  8 Ce 3.20-3.37
Bi  0.7500  0.8750  0.1250  8 Ce 3.20-3.37
Bi  0.8750  0.1250  0.7500  8 Ce 3.20-3.37

> ΔE_f of number 1 (CeBi3)?

-0.467 eV/atom